Record 1
This record from Alexandria describes Th2Al4CuAg3 after structural relaxation. The functional is PBE.

Properties
Symmetry   P-4m2 (115)
E   -4.54 eV/atom
Calculated formation energy   -0.295 eV per atom

Cell lengths 4.3841, 4.3841, 10.5458 Å; angles 90.00, 90.00, 90.00 degrees
Fractional positions:
Al 0.0000 0.0000 0.0000
Al 0.5000 0.5000 0.0000
Al 0.0000 0.5000 0.3745
Al 0.5000 0.0000 0.6255
Ag 0.5000 0.0000 0.8659
Ag 0.0000 0.0000 0.5000
Ag 0.0000 0.5000 0.1341
Cu 0.5000 0.5000 0.5000
Th 0.5000 0.0000 0.2599
Th 0.0000 0.5000 0.7401

***

Record 2
This record from Alexandria describes Th2Al4Cu3Ag after structural relaxation. The functional is PBE.

Properties
Symmetry   P-4m2 (115)
E   -4.87 eV/atom
Calculated formation energy   -0.377 eV per atom

Cell lengths 4.2803, 4.2803, 10.2708 Å; angles 90.00, 90.00, 90.00 degrees
Fractional positions:
Cu 0.0000 0.5000 0.1255
Cu 0.0000 0.0000 0.5000
Cu 0.5000 0.0000 0.8745
Al 0.5000 0.5000 0.0000
Al 0.5000 0.0000 0.6387
Al 0.0000 0.0000 0.0000
Al 0.0000 0.5000 0.3613
Th 0.5000 0.0000 0.2448
Th 0.0000 0.5000 0.7552
Ag 0.5000 0.5000 0.5000

***

Record 3
This record from Alexandria describes ThAl3CuAg after structural relaxation. The functional is PBE.

Properties
Symmetry   Cmcm (63)
E   -4.36 eV/atom
Calculated formation energy   -0.090 eV per atom

Cell lengths 6.0932, 6.1236, 7.0037 Å; angles 115.92, 90.00, 90.00 degrees
Fractional positions:
Al 0.7500 0.8658 0.7316
Al 0.2500 0.1342 0.2684
Al 0.5000 0.7148 0.0000
Al 0.5000 0.2852 0.0000
Al 0.0000 0.7148 0.0000
Al 0.0000 0.2852 0.0000
Ag 0.2500 0.3467 0.6934
Ag 0.7500 0.6533 0.3066
Cu 0.7500 0.0700 0.1401
Cu 0.2500 0.9300 0.8599
Th 0.7500 0.2880 0.5760
Th 0.2500 0.7120 0.4240

***

no.,total moment (μB per cell),ρ (g/cm3)
1,0.0,7.86
2,0.0,7.68
3,0.0,6.84